A geometry-optimized RbVCu2O4 structure. Source: the Alexandria database, functional PBE with a Hubbard U.

Lattice parameters (Å, degrees): 5.3609 5.3609 5.3609 119.11 119.11 91.55
With the nearest neighbours (Å) after each atom.
Atoms (fractional coordinates):
Rb (0.5000, 0.5000, 0.0000)  8 O 2.69-2.97
V (0.0000, 0.0000, 0.0000)  4 O 1.78
Cu (0.7500, 0.2500, 0.5000)  4 O 2.13
Cu (0.2500, 0.7500, 0.5000)  4 O 2.13
O (0.6705, 0.6705, 0.6383)  1 V 1.78
O (0.9677, 0.3295, 0.0000)  1 V 1.78
O (0.3295, 0.9677, 0.0000)  1 V 1.78
O (0.0323, 0.0323, 0.3617)  1 V 1.78

Calculated values
* volume: 13.80 Å³/atom
* total moment: 0.00 μB per formula unit
* energy: -5.7870 eV/atom